5
Lattice="-0.135 1.082 3.374 2.288 -2.533 -0.959 8.591 8.682 -2.439" Properties=species:S:1:pos:R:3 comment="Mg2Tl2Pb (GGA-PBE, optimized geometry)" final_energy_ev_per_atom=-2.341 formation_enthalpy_0k_ev_per_atom=-0.015 relative_energy_mev_per_atom=11 pbc="T T T"
Mg 6.647 5.914 0.233
Tl 1.612 0.827 1.663
Mg 4.097 1.316 -0.258
Pb 4.295 4.341 -1.220
Tl 9.131 6.404 -1.687